This record from OQMD via LeMat-Bulk describes a geometry-optimized RbZnNO structure. The functional is PBE.

Unit cell a=3.4812 b=6.2129 c=6.5559 alpha=90.00 beta=90.00 gamma=90.00
Element x y z (fractional)
Rb1 0.0000 0.0006 0.7400
N1 0.0000 0.0018 0.2966
O1 0.5000 0.2505 0.9991
Rb2 0.0000 0.5006 0.2600
Zn1 0.5000 0.5011 0.8210
Zn2 0.5000 0.0011 0.1790
N2 0.0000 0.5018 0.7034
O2 0.5000 0.7505 0.0009

The calculation puts the energy above the most stable polymorph in this dataset at 23.96 kJ per mole of atoms. The total energy comes out at -30.61 eV per cell.

=====

This record from OQMD via LeMat-Bulk describes a geometry-optimized RbZnNO structure. The functional is PBE.

Unit cell a=3.2386 b=5.9093 c=7.1687 alpha=90.00 beta=90.00 gamma=90.00
Element x y z (fractional)
Rb1 0.5000 0.0011 0.2003
Rb2 0.5000 0.5011 0.7997
O1 0.5000 0.4993 0.1795
N1 0.0000 0.7531 0.4977
Zn1 0.0000 0.0005 0.6738
Zn2 0.0000 0.5005 0.3262
O2 0.5000 0.9993 0.8205
N2 0.0000 0.2531 0.5023

The calculation puts the energy above the most stable polymorph in this dataset at 22.51 kJ per mole of atoms. The total energy comes out at -30.73 eV per cell.

=====

This record from OQMD via LeMat-Bulk describes a geometry-optimized RbZnNO structure. The functional is PBE.

Unit cell a=3.5920 b=3.5920 c=10.4162 alpha=90.00 beta=90.00 gamma=90.00
Element x y z (fractional)
N1 0.2500 0.2500 0.5948
Rb1 0.2500 0.2500 0.1975
Zn1 0.2500 0.7500 0.5000
O1 0.7500 0.2500 0.0000
N2 0.7500 0.7500 0.4052
O2 0.2500 0.7500 0.0000
Zn2 0.7500 0.2500 0.5000
Rb2 0.7500 0.7500 0.8025

The calculation puts the energy above the most stable polymorph in this dataset at 47.39 kJ per mole of atoms. The total energy comes out at -28.67 eV per cell.

=====

This record from OQMD via LeMat-Bulk describes a geometry-optimized RbZnNO structure. The functional is PBE.

Unit cell a=4.3408 b=4.3408 c=7.4521 alpha=90.00 beta=90.00 gamma=90.00
Element x y z (fractional)
N1 0.2500 0.2500 0.6923
O1 0.7500 0.2500 0.0000
Rb1 0.2500 0.7500 0.5000
Zn1 0.7500 0.7500 0.0494
Zn2 0.2500 0.2500 0.9506
N2 0.7500 0.7500 0.3077
Rb2 0.7500 0.2500 0.5000
O2 0.2500 0.7500 0.0000

The calculation puts the energy above the most stable polymorph in this dataset at 71.43 kJ per mole of atoms. The total energy comes out at -26.67 eV per cell.